1.
A relaxed structure of Er6Te3AsPd2. Source: Alexandria via LeMat-Bulk, functional PBE.

Energy relative to the elements, uncorrected   -1145 meV per atom

Cell lengths 7.188, 7.188, 7.558 Å; angles 99.19, 99.19, 120.27 degrees
Fractional coordinates of all 12 atoms:
Er 0.928 0.590 0.783
Er 0.734 0.734 0.217
Er 0.072 0.410 0.217
Er 0.590 0.928 0.783
Er 0.266 0.266 0.783
Er 0.410 0.072 0.217
Te 0.163 0.837 0.500
Te 0.837 0.163 0.500
Te 0.500 0.500 0.500
As 0.000 0.000 0.000
Pd 0.332 0.668 0.000
Pd 0.668 0.332 0.000

2.
A relaxed structure of ErTl2As2Pd7. Source: Alexandria via LeMat-Bulk, functional PBE.

DFT formation energy   -0.4589 eV per atom

Cell lengths 4.046, 4.046, 14.637 Å; angles 85.27, 85.27, 89.85 degrees
Fractional coordinates of all 12 atoms:
Er 0.000 0.000 0.000
Tl 0.898 0.898 0.400
Tl 0.102 0.102 0.600
As 0.575 0.575 0.754
As 0.425 0.425 0.246
Pd 0.500 0.500 0.000
Pd 0.400 0.400 0.415
Pd 0.600 0.600 0.585
Pd 0.955 0.456 0.146
Pd 0.456 0.955 0.146
Pd 0.544 0.045 0.854
Pd 0.045 0.544 0.854

3.
A relaxed structure of Pm3ErAs4. Source: Alexandria via LeMat-Bulk, functional PBE.

DFT formation energy   -1.5152 eV per atom

Cell lengths 5.940, 5.940, 5.940 Å; angles 90.00, 90.00, 90.00 degrees
Fractional coordinates of all 8 atoms:
As 0.500 0.000 0.000
As 0.000 0.500 0.000
As 0.000 0.000 0.500
As 0.500 0.500 0.500
Er 0.000 0.000 0.000
Pm 0.000 0.500 0.500
Pm 0.500 0.000 0.500
Pm 0.500 0.500 0.000

4.
A relaxed structure of Pm2ErAs. Source: Alexandria via LeMat-Bulk, functional PBE.

DFT formation energy   -0.5230 eV per atom

Cell lengths 3.831, 3.831, 7.741 Å; angles 90.00, 90.00, 90.00 degrees
Fractional coordinates of all 4 atoms:
As 0.500 0.500 0.000
Pm 0.000 0.000 0.795
Pm 0.000 0.000 0.205
Er 0.500 0.500 0.500

5.
A relaxed structure of Pm3Er5As8. Source: Alexandria via LeMat-Bulk, functional PBE.

DFT formation energy   -1.5145 eV per atom

Cell lengths 8.284, 8.284, 8.283 Å; angles 60.00, 60.00, 60.00 degrees
Fractional coordinates of all 16 atoms:
Pm 0.500 0.000 0.500
Pm 0.000 0.000 0.500
Pm 0.000 0.500 0.500
Er 0.500 0.000 0.000
Er 0.500 0.500 0.000
Er 0.000 0.000 0.000
Er 0.000 0.500 0.000
Er 0.500 0.500 0.500
As 0.250 0.250 0.756
As 0.250 0.744 0.756
As 0.744 0.250 0.756
As 0.747 0.747 0.760
As 0.750 0.750 0.244
As 0.750 0.256 0.244
As 0.256 0.750 0.244
As 0.253 0.253 0.240

6.
A relaxed structure of Pm3ErAs4. Source: Alexandria via LeMat-Bulk, functional PBE.

DFT formation energy   -1.5181 eV per atom

Cell lengths 4.203, 7.274, 7.274 Å; angles 109.47, 90.00, 90.00 degrees
Fractional coordinates of all 8 atoms:
Pm 0.000 0.000 0.500
Pm 0.500 0.500 0.500
Pm 0.000 0.500 0.000
Er 0.500 0.000 0.000
As 0.000 0.244 0.244
As 0.500 0.753 0.247
As 0.000 0.756 0.756
As 0.500 0.247 0.753